Entry 1:
TmU3In3Te8: optimized geometry, PBE.

abc: 9.6659 9.6659 9.6659
angles: 53.38 53.38 53.38
Sites, in units of the cell vectors:
Tm: 0.0000 0.0000 0.0000
U: 0.0000 0.5000 0.5000
U: 0.5000 0.0000 0.5000
U: 0.5000 0.5000 0.0000
In: 0.0000 0.0000 0.5000
In: 0.0000 0.5000 0.0000
In: 0.5000 0.0000 0.0000
Te: 0.2381 0.2381 0.7417
Te: 0.2381 0.7417 0.2381
Te: 0.2583 0.7619 0.7619
Te: 0.2591 0.2591 0.2591
Te: 0.7409 0.7409 0.7409
Te: 0.7417 0.2381 0.2381
Te: 0.7619 0.2583 0.7619
Te: 0.7619 0.7619 0.2583

N(E_F) = 1.35 states/eV per atom
Uncorrected formation energy = -615 meV per atom

=====

Entry 2:
Ta3CuF: optimized geometry, PBE.

abc: 4.2673 4.2673 4.2673
angles: 90.00 90.00 90.00
Sites, in units of the cell vectors:
Ta: 0.0000 0.0000 0.5000
Ta: 0.0000 0.5000 0.0000
Ta: 0.5000 0.0000 0.0000
Cu: 0.5000 0.5000 0.5000
F: 0.0000 0.0000 0.0000

N(E_F) = 0.85 states/eV per atom
Uncorrected formation energy = 369 meV per atom